[1]
Computed, not measured: an optimized crystal structure of ScPbSe at the PBE-GGA level of DFT.

Computed properties:
- Energy above the most stable polymorph in this dataset: 216 meV per atom
- Formation energy (no corrections): -0.66 eV/atom
- Electronic total energy: -30.98 eV/cell
- Theoretical density: 5.91 g/cm³
- V: 31.04 Å³/atom

Cell lengths 4.4956, 4.4956, 10.6399 Å; angles 90.00, 90.00, 120.00 degrees
Last column: nearest neighbours and their distance in Å.
Space group P-3m1 (No. 164)
Inequivalent atoms, fractional coordinates:
Sc1 0.3333 0.6667 0.1309 (multiplicity 2)  4 Se 2.60-2.73
Pb1 0.0000 0.0000 0.3578 (multiplicity 2)  1 Pb 3.03
Se1 0.3333 0.6667 0.8747 (multiplicity 2)  4 Sc 2.60-2.73

=====

[2]
Computed, not measured: an optimized crystal structure of Tc2SbCl at the PBE-GGA level of DFT.

Computed properties:
- Energy above the most stable polymorph in this dataset: 94 meV per atom
- Formation energy (no corrections): 0.00 eV/atom
- Electronic total energy: -26.68 eV/cell
- Theoretical density: 7.29 g/cm³
- V: 20.12 Å³/atom

Cell lengths 2.9804, 2.9804, 9.0602 Å; angles 90.00, 90.00, 90.00 degrees
Last column: nearest neighbours and their distance in Å.
Space group P4mm (No. 99)
Inequivalent atoms, fractional coordinates:
Tc1 0.0000 0.0000 0.0000 (multiplicity 1)  8 Tc 2.67-2.98, 4 Sb 2.88
Tc2 0.5000 0.5000 0.1802 (multiplicity 1)  8 Tc 2.67-2.98, 4 Cl 2.68
Sb1 0.5000 0.5000 0.7830 (multiplicity 1)  4 Tc 2.88, 4 Sb 2.98
Cl1 0.0000 0.0000 0.3635 (multiplicity 1)  4 Tc 2.68, 4 Cl 2.98

=====

[3]
Computed, not measured: an optimized crystal structure of Tm3Tl3Zn2 at the PBE-GGA level of DFT.

Computed properties:
- Electronic total energy: -25.10 eV/cell
- Formation energy from the elements: -0.255 eV per atom
- Theoretical density: 10.78 g/cm³
- V: 24.09 Å³/atom

Cell lengths 7.7582, 7.7582, 3.6978 Å; angles 90.00, 90.00, 120.00 degrees
Last column: nearest neighbours and their distance in Å.
Space group P-62m (No. 189)
Inequivalent atoms, fractional coordinates:
Tm1 0.0000 0.3946 0.0000 (multiplicity 3)  4 Zn 3.02, 6 Tl 3.26-3.32
Tl1 0.0000 0.7492 0.5000 (multiplicity 3)  2 Zn 2.96, 4 Tm 3.26
Zn1 0.3333 0.6667 0.5000 (multiplicity 2)  3 Tl 2.96, 6 Tm 3.02

=====

[4]
Computed, not measured: an optimized crystal structure of CaTm5P6 at the PBE-GGA level of DFT.

Computed properties:
- Electronic total energy: -149.05 eV/cell
- Formation energy from the elements: -1.475 eV per atom
- Theoretical density: 6.67 g/cm³
- V: 22.21 Å³/atom

Cell lengths 6.8764, 11.9222, 6.8958 Å; angles 90.00, 109.44, 90.00 degrees
Last column: nearest neighbours and their distance in Å.
Space group C2/m (No. 12)
Inequivalent atoms, fractional coordinates:
Ca1 0.0000 0.0000 0.0000 (multiplicity 2)  6 P 2.87
Tm1 0.0000 0.1649 0.5000 (multiplicity 4)  6 P 2.77-2.82
Tm2 0.0000 0.3326 0.0000 (multiplicity 4)  6 P 2.80-2.81
Tm3 0.0000 0.5000 0.5000 (multiplicity 2)  6 P 2.75-2.82
P1 0.2436 0.5000 0.2540 (multiplicity 4)  5 Tm 2.75-2.81, 1 Ca 2.87
P2 0.2445 0.3296 0.7459 (multiplicity 8)  5 Tm 2.77-2.82, 1 Ca 2.87

=====

[5]
Computed, not measured: an optimized crystal structure of Mg6CdIn12 at the PBE-GGA level of DFT.

Computed properties:
- Energy above the most stable polymorph in this dataset: 0 meV per atom
- Electronic total energy: -132.11 eV/cell
- Formation energy from the elements: -0.037 eV per atom
- Theoretical density: 5.81 g/cm³
- V: 24.63 Å³/atom

Cell lengths 14.0466, 14.0466, 8.2163 Å; angles 90.00, 90.00, 120.00 degrees
Last column: nearest neighbours and their distance in Å.
Space group R-3 (No. 148, hexagonal axes)
Inequivalent atoms, fractional coordinates:
Mg1 0.0320 0.7558 0.3247 (multiplicity 18)  9 In 3.14-3.32, 3 Mg 3.29-3.33
Cd1 0.0000 0.0000 0.0000 (multiplicity 3)  12 In 3.27-3.34
In1 0.0128 0.8719 0.6653 (multiplicity 18)  4 Mg 3.14-3.32, 7 In 3.18-3.42, 1 Cd 3.34
In2 0.0667 0.5042 0.6737 (multiplicity 18)  6 In 3.18-3.42, 5 Mg 3.19-3.32, 1 Cd 3.27

=====

[6]
Computed, not measured: an optimized crystal structure of BeTeAs2 at the PBE-GGA level of DFT.

Computed properties:
- Energy above the most stable polymorph in this dataset: 647 meV per atom
- Formation energy (no corrections): 0.70 eV/atom
- Electronic total energy: -13.36 eV/cell
- Theoretical density: 6.04 g/cm³
- V: 19.68 Å³/atom

Cell lengths 4.8110, 4.8110, 3.4009 Å; angles 90.00, 90.00, 90.00 degrees
Last column: nearest neighbours and their distance in Å.
Space group P4/mmm (No. 123)
Inequivalent atoms, fractional coordinates:
Be1 0.0000 0.0000 0.0000 (multiplicity 1)  8 As 2.95
Te1 0.5000 0.5000 0.0000 (multiplicity 1)  8 As 2.95
As1 0.0000 0.5000 0.5000 (multiplicity 2)  4 Te 2.95, 4 Be 2.95

=====

[7]
Computed, not measured: an optimized crystal structure of Sr6Tl5Ga at the PBE-GGA level of DFT.

Computed properties:
- Electronic total energy: -29.88 eV/cell
- Formation energy from the elements: -0.411 eV per atom
- Theoretical density: 6.63 g/cm³
- V: 33.73 Å³/atom

Cell lengths 5.7576, 8.1052, 9.1225 Å; angles 90.00, 108.04, 90.00 degrees
Last column: nearest neighbours and their distance in Å.
Space group P2/m (No. 10)
Inequivalent atoms, fractional coordinates:
Sr1 0.0000 0.2422 0.0000 (multiplicity 2)  2 Ga 3.48, 6 Tl 3.52-3.58
Sr2 0.3371 0.2463 0.6732 (multiplicity 4)  1 Ga 3.47, 7 Tl 3.50-3.58
Tl1 0.1671 0.5000 0.3352 (multiplicity 2)  8 Sr 3.54-3.58
Tl2 0.1680 0.0000 0.3370 (multiplicity 2)  8 Sr 3.50-3.53
Tl3 0.5000 0.5000 0.0000 (multiplicity 1)  8 Sr 3.50-3.56
Ga1 0.5000 0.0000 0.0000 (multiplicity 1)  8 Sr 3.47-3.48

=====

[8]
Computed, not measured: an optimized crystal structure of LaCrTe2 at the PBE-GGA level of DFT.

Computed properties:
- Energy above the most stable polymorph in this dataset: 138 meV per atom
- Formation energy (no corrections): -0.64 eV/atom
- Electronic total energy: -46.83 eV/cell
- Theoretical density: 6.55 g/cm³
- V: 28.26 Å³/atom

Cell lengths 4.6608, 6.0419, 8.0286 Å; angles 90.00, 90.00, 90.00 degrees
Last column: nearest neighbours and their distance in Å.
Space group Immm (No. 71)
Inequivalent atoms, fractional coordinates:
La1 0.0000 0.0000 0.0000 (multiplicity 2)  8 Te 3.27-3.48
Cr1 0.0000 0.0000 0.5000 (multiplicity 2)  4 Te 2.90
Te1 0.0000 0.5000 0.2146 (multiplicity 4)  2 Cr 2.90

=====

[9]
Computed, not measured: an optimized crystal structure of PmTmSe2 at the PBE-GGA level of DFT.

Computed properties:
- Energy above the most stable polymorph in this dataset: 260 meV per atom
- Formation energy (no corrections): -1.50 eV/atom
- Electronic total energy: -88.72 eV/cell
- Theoretical density: 8.61 g/cm³
- V: 22.76 Å³/atom

Cell lengths 7.1411, 7.1411, 7.1411 Å; angles 90.00, 90.00, 90.00 degrees
Last column: nearest neighbours and their distance in Å.
Space group Fm-3m (No. 225)
Inequivalent atoms, fractional coordinates:
Pm1 0.0000 0.0000 0.0000 (multiplicity 4)  8 Se 3.09
Tm1 0.0000 0.0000 0.5000 (multiplicity 4)  8 Se 3.09
Se1 0.2500 0.2500 0.2500 (multiplicity 8)  4 Pm 3.09, 4 Tm 3.09

=====

[10]
Computed, not measured: an optimized crystal structure of AlSi2Te at the PBE-GGA level of DFT.

Computed properties:
- Energy above the most stable polymorph in this dataset: 312 meV per atom
- Formation energy (no corrections): 0.45 eV/atom
- Electronic total energy: -15.95 eV/cell
- Theoretical density: 4.41 g/cm³
- V: 19.82 Å³/atom

Cell lengths 3.0198, 3.0198, 8.6946 Å; angles 90.00, 90.00, 90.00 degrees
Last column: nearest neighbours and their distance in Å.
Space group P4/mmm (No. 123)
Inequivalent atoms, fractional coordinates:
Al1 0.0000 0.0000 0.0000 (multiplicity 1)  8 Si 2.72, 4 Al 3.02
Si1 0.5000 0.5000 0.1937 (multiplicity 2)  4 Al 2.72, 4 Si 3.02
Te1 0.0000 0.0000 0.5000 (multiplicity 1)  4 Te 3.02

=====

[11]
Computed, not measured: an optimized crystal structure of Pt2Pb3 at the PBE-GGA level of DFT.

Computed properties:
- Electronic total energy: -187.31 eV/cell
- Formation energy from the elements: -0.041 eV per atom
- Theoretical density: 12.97 g/cm³
- V: 25.92 Å³/atom

Cell lengths 11.5988, 22.7480, 3.9290 Å; angles 90.00, 90.00, 90.00 degrees
Last column: nearest neighbours and their distance in Å.
Space group Fdd2 (No. 43)
Inequivalent atoms, fractional coordinates:
Pt1 0.0793 0.2711 0.0000 (multiplicity 16)  5 Pb 2.81-2.88, 2 Pt 2.86
Pb1 0.0000 0.0000 0.2562 (multiplicity 8)  4 Pt 2.81-2.85
Pb2 0.0097 0.1496 0.9961 (multiplicity 16)  3 Pt 2.85-2.88

=====

[12]
Computed, not measured: an optimized crystal structure of Sr2MgPd2 at the PBE-GGA level of DFT.

Computed properties:
- Electronic total energy: -32.70 eV/cell
- Formation energy from the elements: -0.201 eV per atom
- Theoretical density: 4.61 g/cm³
- V: 29.73 Å³/atom

Cell lengths 3.9409, 3.9409, 19.1439 Å; angles 90.00, 90.00, 90.00 degrees
Last column: nearest neighbours and their distance in Å.
Space group I4/mmm (No. 139)
Inequivalent atoms, fractional coordinates:
Sr1 0.0000 0.0000 0.1280 (multiplicity 4)  4 Pd 3.06
Mg1 0.0000 0.0000 0.5000 (multiplicity 2)  8 Sr 3.71, 4 Mg 3.94
Pd1 0.0000 0.5000 0.2500 (multiplicity 4)  4 Pd 2.79, 4 Sr 3.06